[1]
The following is a PBE calculation of a geometry-optimized TiIn2Sb2 structure, from Alexandria.

Output
* E_tot: -4.261 eV per atom
* theoretical density: 6.7 g cm⁻³

Geometry as CIF:
```
data_TiIn2Sb2
_cell_length_a 7.326
_cell_length_b 7.326
_cell_length_c 4.841
_cell_angle_alpha 90.00
_cell_angle_beta 90.00
_cell_angle_gamma 90.00
_symmetry_space_group_name_H-M 'P 4/m b m'
_symmetry_Int_Tables_number 127
_symmetry_space_group_name_Hall '-P 4 2ab'
loop_
_atom_site_label
_atom_site_fract_x
_atom_site_fract_y
_atom_site_fract_z
Ti1 0.000 0.000 0.000
In1 0.165 0.335 0.500
Sb1 0.152 0.652 0.000
```


[2]
The following is a PBE calculation of a geometry-optimized AlRu structure, from Alexandria.

Output
* energy of formation: -45.5 kJ per mole of atoms
* theoretical density: 7.6 g cm⁻³

Geometry as CIF:
```
data_AlRu
_cell_length_a 2.925
_cell_length_b 13.370
_cell_length_c 4.301
_cell_angle_alpha 90.00
_cell_angle_beta 90.00
_cell_angle_gamma 90.00
_symmetry_space_group_name_H-M 'A m m 2'
_symmetry_Int_Tables_number 38
loop_
_symmetry_equiv_pos_as_xyz
'x,y,z'
'-x,-y,z'
'-x,y,z'
'x,-y,z'
'x,y+1/2,z+1/2'
'-x,-y+1/2,z+1/2'
'-x,y+1/2,z+1/2'
'x,-y+1/2,z+1/2'
loop_
_atom_site_label
_atom_site_fract_x
_atom_site_fract_y
_atom_site_fract_z
Al1 0.000 0.000 0.000
Al2 0.500 0.175 0.835
Ru1 0.000 0.163 0.334
Ru2 0.500 0.000 0.516
```


[3]
The following is a PBE calculation of a geometry-optimized YSiSn2Bi structure, from Alexandria.

Output
* E_tot: -4.462 eV per atom
* theoretical density: 6.3 g cm⁻³

Geometry as CIF:
```
data_YSiSn2Bi
_cell_length_a 5.229
_cell_length_b 5.229
_cell_length_c 5.460
_cell_angle_alpha 90.00
_cell_angle_beta 90.00
_cell_angle_gamma 90.00
_symmetry_space_group_name_H-M 'P 4/m m m'
_symmetry_Int_Tables_number 123
_symmetry_space_group_name_Hall '-P 4 2'
loop_
_atom_site_label
_atom_site_fract_x
_atom_site_fract_y
_atom_site_fract_z
Y1 0.000 0.000 0.000
Si1 0.500 0.500 0.500
Sn1 0.000 0.500 0.500
Bi1 0.500 0.500 0.000
```


[4]
The following is a PBE calculation of a geometry-optimized HfZr2Tc4 structure, from Alexandria.

Output
* energy of formation: 26.0 kJ per mole of atoms
* theoretical density: 9.5 g cm⁻³

Geometry as CIF:
```
data_HfZr2Tc4
_cell_length_a 6.392
_cell_length_b 6.392
_cell_length_c 6.458
_cell_angle_alpha 90.00
_cell_angle_beta 90.00
_cell_angle_gamma 90.00
_symmetry_space_group_name_H-M 'I 4/m m m'
_symmetry_Int_Tables_number 139
_symmetry_space_group_name_Hall '-I 4 2'
loop_
_atom_site_label
_atom_site_fract_x
_atom_site_fract_y
_atom_site_fract_z
Hf1 0.000 0.000 0.000
Zr1 0.000 0.500 0.000
Tc1 0.250 0.250 0.250
```


[5]
The following is a PBE calculation of a geometry-optimized LiSbP3 structure, from Alexandria.

Output
* E_tot: -3.704 eV per atom
* theoretical density: 4.1 g cm⁻³

Geometry as CIF:
```
data_LiSbP3
_cell_length_a 4.464
_cell_length_b 4.464
_cell_length_c 4.464
_cell_angle_alpha 90.00
_cell_angle_beta 90.00
_cell_angle_gamma 90.00
_symmetry_space_group_name_H-M 'P m -3 m'
_symmetry_Int_Tables_number 221
_symmetry_space_group_name_Hall '-P 4 2 3'
loop_
_atom_site_label
_atom_site_fract_x
_atom_site_fract_y
_atom_site_fract_z
Li1 0.000 0.000 0.000
Sb1 0.500 0.500 0.500
P1 0.000 0.000 0.500
```


[6]
The following is a PBE calculation of a geometry-optimized BaLiScI6 structure, from Alexandria.

Output
* E_tot: -3.535 eV per atom
* theoretical density: 4.1 g cm⁻³

Geometry as CIF:
```
data_BaLiScI6
_cell_length_a 7.6904
_cell_length_b 7.6904
_cell_length_c 14.8620
_cell_angle_alpha 90.00
_cell_angle_beta 90.00
_cell_angle_gamma 120.00
_symmetry_space_group_name_H-M 'P -3 1 c'
_symmetry_Int_Tables_number 163
_symmetry_space_group_name_Hall '-P 3 2c'
loop_
_atom_site_label
_atom_site_fract_x
_atom_site_fract_y
_atom_site_fract_z
Ba1 0.0000 0.0000 0.0000
Li1 0.3333 0.6667 0.2500
Sc1 0.3333 0.6667 0.7500
I1 0.0094 0.3726 0.6377
```


[7]
The following is a PBE calculation of a geometry-optimized Tb2DyHo3Er6 structure, from Alexandria.

Output
* energy of formation: 1.9 kJ per mole of atoms
* theoretical density: 8.9 g cm⁻³

Geometry as CIF:
```
data_Tb2DyHo3Er6
_cell_length_a 6.090
_cell_length_b 10.535
_cell_length_c 11.639
_cell_angle_alpha 90.00
_cell_angle_beta 99.99
_cell_angle_gamma 90.00
_symmetry_space_group_name_H-M 'C 1 2/m 1'
_symmetry_Int_Tables_number 12
loop_
_symmetry_equiv_pos_as_xyz
'x,y,z'
'-x,-y,-z'
'-x,y,-z'
'x,-y,z'
'x+1/2,y+1/2,z'
'-x+1/2,-y+1/2,-z'
'-x+1/2,y+1/2,-z'
'x+1/2,-y+1/2,z'
loop_
_atom_site_label
_atom_site_fract_x
_atom_site_fract_y
_atom_site_fract_z
Tb1 0.000 0.167 0.000
Dy1 0.000 0.500 0.000
Ho1 0.000 0.000 0.500
Ho2 0.000 0.333 0.500
Er1 0.249 0.167 0.749
Er2 0.249 0.500 0.749
```


[8]
The following is a PBE calculation of a geometry-optimized Mg2Ag2Pt structure, from Alexandria.

Output
* energy of formation: -11.3 kJ per mole of atoms
* theoretical density: 7.8 g cm⁻³

Geometry as CIF:
```
data_Mg2Ag2Pt
_cell_length_a 3.656
_cell_length_b 3.656
_cell_length_c 14.668
_cell_angle_alpha 90.00
_cell_angle_beta 90.00
_cell_angle_gamma 90.00
_symmetry_space_group_name_H-M 'I 4/m m m'
_symmetry_Int_Tables_number 139
_symmetry_space_group_name_Hall '-I 4 2'
loop_
_atom_site_label
_atom_site_fract_x
_atom_site_fract_y
_atom_site_fract_z
Mg1 0.000 0.000 0.094
Ag1 0.000 0.500 0.250
Pt1 0.000 0.000 0.500
```


[9]
The following is a PBE calculation of a geometry-optimized SrAlSe2 structure, from Alexandria.

Output
* E_tot: -3.943 eV per atom
* theoretical density: 3.1 g cm⁻³

Geometry as CIF:
```
data_SrAlSe2
_cell_length_a 4.6563
_cell_length_b 4.6563
_cell_length_c 23.5411
_cell_angle_alpha 90.00
_cell_angle_beta 90.00
_cell_angle_gamma 120.00
_symmetry_space_group_name_H-M 'R -3 m'
_symmetry_Int_Tables_number 166
_symmetry_space_group_name_Hall '-R 3 2"'
loop_
_atom_site_label
_atom_site_fract_x
_atom_site_fract_y
_atom_site_fract_z
Sr1 0.0000 0.0000 0.0000
Al1 0.0000 0.0000 0.5000
Se1 0.0000 0.0000 0.4004
```


[10]
The following is a PBE calculation of a geometry-optimized Ga2ICl structure, from Alexandria.

Output
* E_tot: -2.864 eV per atom
* theoretical density: 3.9 g cm⁻³

Geometry as CIF:
```
data_Ga2ICl
_cell_length_a 4.5102
_cell_length_b 4.5102
_cell_length_c 21.7766
_cell_angle_alpha 90.00
_cell_angle_beta 90.00
_cell_angle_gamma 120.00
_symmetry_space_group_name_H-M 'R -3 m'
_symmetry_Int_Tables_number 166
_symmetry_space_group_name_Hall '-R 3 2"'
loop_
_atom_site_label
_atom_site_fract_x
_atom_site_fract_y
_atom_site_fract_z
Ga1 0.0000 0.0000 0.2408
I1 0.0000 0.0000 0.0000
Cl1 0.0000 0.0000 0.5000
```


[11]
The following is a PBE calculation of a geometry-optimized NaCuTcF6 structure, from Alexandria.

Output
* E_tot: -5.028 eV per atom
* theoretical density: 4.1 g cm⁻³

Geometry as CIF:
```
data_NaCuTcF6
_cell_length_a 5.5564
_cell_length_b 5.5564
_cell_length_c 8.9609
_cell_angle_alpha 90.00
_cell_angle_beta 90.00
_cell_angle_gamma 120.00
_symmetry_space_group_name_H-M 'P -3 1 c'
_symmetry_Int_Tables_number 163
_symmetry_space_group_name_Hall '-P 3 2c'
loop_
_atom_site_label
_atom_site_fract_x
_atom_site_fract_y
_atom_site_fract_z
Na1 0.3333 0.6667 0.2500
Cu1 0.0000 0.0000 0.0000
Tc1 0.3333 0.6667 0.7500
F1 0.0406 0.3623 0.6268
```


[12]
The following is a PBE calculation of a geometry-optimized Tm2CoCl structure, from Alexandria.

Output
* E_tot: -5.316 eV per atom
* theoretical density: 8.0 g cm⁻³

Geometry as CIF:
```
data_Tm2CoCl
_cell_length_a 3.7554
_cell_length_b 3.7554
_cell_length_c 21.9119
_cell_angle_alpha 90.00
_cell_angle_beta 90.00
_cell_angle_gamma 120.00
_symmetry_space_group_name_H-M 'R -3 m'
_symmetry_Int_Tables_number 166
_symmetry_space_group_name_Hall '-R 3 2"'
loop_
_atom_site_label
_atom_site_fract_x
_atom_site_fract_y
_atom_site_fract_z
Tm1 0.0000 0.0000 0.2326
Co1 0.0000 0.0000 0.5000
Cl1 0.0000 0.0000 0.0000
```